VASP calculation (meta-GGA SCAN) on a PBEsol-optimized structure of BaMnPb2.

```
data_BaMnPb2
_chemical_formula_sum 'Ba2 Mn2 Pb4'
_cell_length_a 3.475
_cell_length_b 6.123
_cell_length_c 10.690
_cell_angle_alpha 90.00
_cell_angle_beta 90.00
_cell_angle_gamma 90.00
_symmetry_space_group_name_H-M 'P 1'
_symmetry_Int_Tables_number 1
loop_
_symmetry_equiv_pos_as_xyz
'x,y,z'
loop_
_atom_site_label
_atom_site_type_symbol
_atom_site_fract_x
_atom_site_fract_y
_atom_site_fract_z
_atom_site_occupancy
Ba1 Ba 0.000 0.000 0.000 1
Ba2 Ba 0.500 0.500 0.500 1
Mn1 Mn 0.000 0.000 0.500 1
Mn2 Mn 0.500 0.500 0.000 1
Pb1 Pb 0.000 0.500 0.211 1
Pb2 Pb 0.000 0.500 0.789 1
Pb3 Pb 0.500 0.000 0.289 1
Pb4 Pb 0.500 0.000 0.711 1
```


VASP calculation (meta-GGA SCAN) on a PBEsol-optimized structure of BaMnPd2.

```
data_BaMnPd2
_chemical_formula_sum 'Ba4 Mn4 Pd8'
_cell_length_a 6.936
_cell_length_b 6.936
_cell_length_c 6.936
_cell_angle_alpha 90.00
_cell_angle_beta 90.00
_cell_angle_gamma 90.00
_symmetry_space_group_name_H-M 'P 1'
_symmetry_Int_Tables_number 1
loop_
_symmetry_equiv_pos_as_xyz
'x,y,z'
loop_
_atom_site_label
_atom_site_type_symbol
_atom_site_fract_x
_atom_site_fract_y
_atom_site_fract_z
_atom_site_occupancy
Ba1 Ba 0.000 0.000 0.000 1
Ba2 Ba 0.000 0.500 0.500 1
Ba3 Ba 0.500 0.000 0.500 1
Ba4 Ba 0.500 0.500 0.000 1
Mn1 Mn 0.000 0.000 0.500 1
Mn2 Mn 0.000 0.500 0.000 1
Mn3 Mn 0.500 0.000 0.000 1
Mn4 Mn 0.500 0.500 0.500 1
Pd1 Pd 0.250 0.250 0.250 1
Pd2 Pd 0.250 0.250 0.750 1
Pd3 Pd 0.250 0.750 0.250 1
Pd4 Pd 0.250 0.750 0.750 1
Pd5 Pd 0.750 0.250 0.250 1
Pd6 Pd 0.750 0.250 0.750 1
Pd7 Pd 0.750 0.750 0.250 1
Pd8 Pd 0.750 0.750 0.750 1
```


VASP calculation (meta-GGA SCAN) on a PBEsol-optimized structure of BaMnPt.

```
data_BaMnPt
_chemical_formula_sum 'Ba2 Mn2 Pt2'
_cell_length_a 3.539
_cell_length_b 3.539
_cell_length_c 11.308
_cell_angle_alpha 90.00
_cell_angle_beta 90.00
_cell_angle_gamma 90.00
_symmetry_space_group_name_H-M 'P 1'
_symmetry_Int_Tables_number 1
loop_
_symmetry_equiv_pos_as_xyz
'x,y,z'
loop_
_atom_site_label
_atom_site_type_symbol
_atom_site_fract_x
_atom_site_fract_y
_atom_site_fract_z
_atom_site_occupancy
Ba1 Ba 0.000 0.000 0.000 1
Ba2 Ba 0.500 0.500 0.500 1
Mn1 Mn 0.000 0.000 0.272 1
Mn2 Mn 0.500 0.500 0.772 1
Pt1 Pt 0.000 0.000 0.714 1
Pt2 Pt 0.500 0.500 0.214 1
```


VASP calculation (meta-GGA SCAN) on a PBEsol-optimized structure of Ba2MnPt.

```
data_Ba2MnPt
_chemical_formula_sum 'Ba8 Mn4 Pt4'
_cell_length_a 7.451
_cell_length_b 7.451
_cell_length_c 7.451
_cell_angle_alpha 90.00
_cell_angle_beta 90.00
_cell_angle_gamma 90.00
_symmetry_space_group_name_H-M 'P 1'
_symmetry_Int_Tables_number 1
loop_
_symmetry_equiv_pos_as_xyz
'x,y,z'
loop_
_atom_site_label
_atom_site_type_symbol
_atom_site_fract_x
_atom_site_fract_y
_atom_site_fract_z
_atom_site_occupancy
Ba1 Ba 0.000 0.000 0.000 1
Ba2 Ba 0.000 0.500 0.500 1
Ba3 Ba 0.250 0.250 0.250 1
Ba4 Ba 0.250 0.750 0.750 1
Ba5 Ba 0.500 0.000 0.500 1
Ba6 Ba 0.500 0.500 0.000 1
Ba7 Ba 0.750 0.250 0.750 1
Ba8 Ba 0.750 0.750 0.250 1
Mn1 Mn 0.000 0.000 0.500 1
Mn2 Mn 0.000 0.500 0.000 1
Mn3 Mn 0.500 0.000 0.000 1
Mn4 Mn 0.500 0.500 0.500 1
Pt1 Pt 0.250 0.250 0.750 1
Pt2 Pt 0.250 0.750 0.250 1
Pt3 Pt 0.750 0.250 0.250 1
Pt4 Pt 0.750 0.750 0.750 1
```


VASP calculation (meta-GGA SCAN) on a PBEsol-optimized structure of BaMnPt.

```
data_BaMnPt
_chemical_formula_sum 'Ba4 Mn4 Pt4'
_cell_length_a 6.639
_cell_length_b 6.639
_cell_length_c 6.639
_cell_angle_alpha 90.00
_cell_angle_beta 90.00
_cell_angle_gamma 90.00
_symmetry_space_group_name_H-M 'P 1'
_symmetry_Int_Tables_number 1
loop_
_symmetry_equiv_pos_as_xyz
'x,y,z'
loop_
_atom_site_label
_atom_site_type_symbol
_atom_site_fract_x
_atom_site_fract_y
_atom_site_fract_z
_atom_site_occupancy
Ba1 Ba 0.000 0.000 0.000 1
Ba2 Ba 0.000 0.500 0.500 1
Ba3 Ba 0.500 0.000 0.500 1
Ba4 Ba 0.500 0.500 0.000 1
Mn1 Mn 0.250 0.250 0.750 1
Mn2 Mn 0.250 0.750 0.250 1
Mn3 Mn 0.750 0.250 0.250 1
Mn4 Mn 0.750 0.750 0.750 1
Pt1 Pt 0.000 0.000 0.500 1
Pt2 Pt 0.000 0.500 0.000 1
Pt3 Pt 0.500 0.000 0.000 1
Pt4 Pt 0.500 0.500 0.500 1
```


VASP calculation (meta-GGA SCAN) on a PBEsol-optimized structure of Ba2MnPt.

```
data_Ba2MnPt
_chemical_formula_sum 'Ba2 Mn1 Pt1'
_cell_length_a 3.634
_cell_length_b 3.634
_cell_length_c 9.277
_cell_angle_alpha 90.00
_cell_angle_beta 90.00
_cell_angle_gamma 90.00
_symmetry_space_group_name_H-M 'P 1'
_symmetry_Int_Tables_number 1
loop_
_symmetry_equiv_pos_as_xyz
'x,y,z'
loop_
_atom_site_label
_atom_site_type_symbol
_atom_site_fract_x
_atom_site_fract_y
_atom_site_fract_z
_atom_site_occupancy
Ba1 Ba 0.000 0.000 0.000 1
Ba2 Ba 0.500 0.500 0.418 1
Mn1 Mn 0.000 0.000 0.675 1
Pt1 Pt 0.500 0.500 0.752 1
```


# BaMn3Pt | Alexandria via LeMat-Bulk | meta-GGA SCAN | PBEsol geometry
# * offset from the most stable computed form: 0 meV/atom
data_BaMn3Pt
_chemical_formula_sum 'Ba1 Mn3 Pt1'
_cell_length_a 4.941
_cell_length_b 4.941
_cell_length_c 4.941
_cell_angle_alpha 90.00
_cell_angle_beta 90.00
_cell_angle_gamma 90.00
_symmetry_space_group_name_H-M 'P 1'
_symmetry_Int_Tables_number 1
loop_
_symmetry_equiv_pos_as_xyz
'x,y,z'
loop_
_atom_site_label
_atom_site_type_symbol
_atom_site_fract_x
_atom_site_fract_y
_atom_site_fract_z
_atom_site_occupancy
Ba1 Ba 0.000 0.000 0.000 1
Mn1 Mn 0.000 0.500 0.500 1
Mn2 Mn 0.500 0.000 0.500 1
Mn3 Mn 0.500 0.500 0.000 1
Pt1 Pt 0.500 0.500 0.500 1


# BaMn3Pt | Alexandria via LeMat-Bulk | meta-GGA SCAN | PBEsol geometry
# * offset from the most stable computed form: 2159 meV/atom
data_BaMn3Pt
_chemical_formula_sum 'Ba1 Mn3 Pt1'
_cell_length_a 4.806
_cell_length_b 4.806
_cell_length_c 4.806
_cell_angle_alpha 90.00
_cell_angle_beta 90.00
_cell_angle_gamma 90.00
_symmetry_space_group_name_H-M 'P 1'
_symmetry_Int_Tables_number 1
loop_
_symmetry_equiv_pos_as_xyz
'x,y,z'
loop_
_atom_site_label
_atom_site_type_symbol
_atom_site_fract_x
_atom_site_fract_y
_atom_site_fract_z
_atom_site_occupancy
Ba1 Ba 0.000 0.000 0.000 1
Mn1 Mn 0.000 0.000 0.500 1
Mn2 Mn 0.000 0.500 0.000 1
Mn3 Mn 0.500 0.000 0.000 1
Pt1 Pt 0.500 0.500 0.500 1


ΔH_f (0 K) values (in meV/atom) by entry order: -109; -86; -373; -12; 40; -246; -147; 2012.